This record from Alexandria via LeMat-Bulk describes BaLa after structural relaxation. The functional is PBE.

Unit cell a=9.590 b=9.590 c=5.231 alpha=90.00 beta=90.00 gamma=156.68
Positions (direct):
La 0.210 0.790 0.250
La 0.790 0.210 0.750
Ba 0.420 0.580 0.250
Ba 0.580 0.420 0.750

Computed properties:
**Energy of formation**: 0.167 eV per atom
**Spin magnetization**: 0.00 μB per atom
**Density of states at the Fermi level**: 1.71 states/eV per atom
**DFT total energy**: -3.26 eV per atom
**V**: 95 Å³/f.u.
**E above lowest polymorph**: 0.070 eV per atom